Density functional theory data (GGA-PBE) for an optimized crystal structure of CaYTe2O8.

Summary:
- VASP energy: -0.4646 Ry/atom
- Mass density: 4.53 g/cm3
- E_form (uncorrected): -1.7860 eV/atom
- Magnetic moment: 0.0 μB per cell

abc: 7.434 7.434 6.798
angles: 90.00 90.00 90.00
Space group I-4m2 (No. 119)
Unique sites:
1 Ca 0.000 0.000 0.000
2 Y 0.000 0.500 0.750
3 Te 0.000 0.000 0.500
4 Te 0.000 0.500 0.250
5 O 0.000 0.191 0.687
6 O 0.000 0.318 0.060

***

Density functional theory data (GGA-PBE) for an optimized crystal structure of CaZn2TeO6.

Summary:
- VASP energy: -0.3950 Ry/atom
- Mass density: 5.32 g/cm3
- E_form (uncorrected): -1.6307 eV/atom
- Magnetic moment: 0.0 μB per cell

abc: 5.4015 5.4015 14.6177
angles: 90.00 90.00 120.00
Space group R3 (No. 146, hexagonal axes)
Unique sites:
1 Ca 0.0000 0.0000 0.0000
2 Zn 0.0000 0.0000 0.2730
3 Zn 0.0000 0.0000 0.7833
4 Te 0.0000 0.0000 0.4881
5 O 0.0127 0.3166 0.5583
6 O 0.0210 0.7289 0.4039

***

Density functional theory data (GGA-PBE) for an optimized crystal structure of Ca2ZnTeO6.

Summary:
- VASP energy: -0.4268 Ry/atom
- Mass density: 4.92 g/cm3
- E_form (uncorrected): -1.9900 eV/atom
- Magnetic moment: 0.0 μB per cell

abc: 5.6055 5.6055 13.7425
angles: 90.00 90.00 120.00
Space group R3 (No. 146, hexagonal axes)
Unique sites:
1 Ca 0.0000 0.0000 0.0000
2 Ca 0.0000 0.0000 0.4977
3 Zn 0.0000 0.0000 0.2367
4 Te 0.0000 0.0000 0.7285
5 O 0.0087 0.4184 0.4704
6 O 0.0904 0.7293 0.3083

***

Density functional theory data (GGA-PBE) for an optimized crystal structure of CaZnTeO6.

Summary:
- VASP energy: -0.3930 Ry/atom
- Mass density: 4.49 g/cm3
- E_form (uncorrected): -1.3287 eV/atom
- Magnetic moment: 4.1 μB per cell

abc: 5.2519 5.2519 10.1878
angles: 90.00 90.00 120.00
Space group P-31c (No. 163)
Unique sites:
1 Ca 0.0000 0.0000 0.0000
2 Zn 0.3333 0.6667 0.2500
3 Te 0.3333 0.6667 0.7500
4 O 0.0171 0.3772 0.6416

***

> Which formula does entry 4 have?

CaZnTeO6